DFT (PBE) results for a relaxed structure of TmPd2Pt4.

The structure in POSCAR format:
```
TmPd2Pt4
1.0
-4.125 -7.023 -2.960
4.052 -0.908 -3.492
2.844 0.575 7.365
Pt Tm Pd
8 2 4
direct
0.817 0.119 0.237 Pt
0.831 0.632 0.263 Pt
0.548 0.685 0.884 Pt
0.914 0.552 0.617 Pt
0.468 0.258 0.516 Pt
0.914 0.065 0.617 Pt
0.202 0.492 0.984 Pt
0.548 0.198 0.884 Pt
0.249 0.927 0.853 Tm
0.644 0.823 0.646 Tm
0.851 0.448 0.896 Pd
0.530 0.875 0.250 Pd
0.530 0.375 0.250 Pd
0.206 0.302 0.605 Pd
```

Computed properties:
Fermi-level density of states	1.096	states/eV/atom
formation energy	-264	meV per atom
DFT total energy	-0.215	Ha/atom
volume	284.1	Å³ per cell

DFT (PBE) results for a relaxed structure of Cd2In7Sn2.

The structure in POSCAR format:
```
Cd2In7Sn2
1.0
6.446 1.170 -0.655
-1.164 6.447 -0.655
-0.222 -0.321 7.111
In Sn Cd
7 2 2
direct
0.893 0.463 0.179 In
0.816 0.816 0.507 In
0.184 0.184 0.493 In
0.463 0.893 0.179 In
0.537 0.107 0.821 In
0.000 0.000 0.000 In
0.107 0.537 0.821 In
0.392 0.392 0.181 Sn
0.608 0.608 0.819 Sn
0.727 0.273 0.500 Cd
0.273 0.727 0.500 Cd
```

Computed properties:
Fermi-level density of states	0.339	states/eV/atom
formation energy	54	meV per atom
DFT total energy	-0.095	Ha/atom
volume	302.8	Å³ per cell

DFT (PBE) results for a relaxed structure of Tm2MnAl2Ni5.

The structure in POSCAR format:
```
Tm2MnAl2Ni5
1.0
3.248 0.000 0.000
0.000 9.638 0.000
0.000 0.000 9.638
Ni Al Tm Mn
10 4 4 2
direct
0.500 0.555 0.698 Ni
0.500 0.198 0.055 Ni
0.500 0.055 0.802 Ni
0.500 0.000 0.500 Ni
0.500 0.945 0.198 Ni
0.500 0.698 0.445 Ni
0.500 0.445 0.302 Ni
0.500 0.500 0.000 Ni
0.500 0.802 0.945 Ni
0.500 0.302 0.555 Ni
0.000 0.376 0.124 Al
0.000 0.124 0.624 Al
0.000 0.876 0.376 Al
0.000 0.624 0.876 Al
0.000 0.325 0.825 Tm
0.000 0.825 0.675 Tm
0.000 0.175 0.325 Tm
0.000 0.675 0.175 Tm
0.000 0.500 0.500 Mn
0.000 0.000 0.000 Mn
```

Computed properties:
Fermi-level density of states	0.601	states/eV/atom
formation energy	-322	meV per atom
DFT total energy	-0.212	Ha/atom
volume	301.7	Å³ per cell

DFT (PBE) results for a relaxed structure of KGaI2N.

The structure in POSCAR format:
```
KGaI2N
1.0
-2.725 -2.560 -5.209
5.616 -2.613 -1.654
-0.813 -2.929 1.865
Ga I K N
1 2 1 1
direct
0.000 0.000 0.000 Ga
0.000 0.500 0.000 I
0.500 0.000 0.000 I
0.500 0.500 0.500 K
0.000 0.000 0.500 N
```

Computed properties:
offset from the most stable computed form	0.0000	eV/atom
Fermi-level density of states	0.694	states/eV/atom
DFT total energy	-0.119	Ha/atom
volume	146.6	Å³ per cell

DFT (PBE) results for a relaxed structure of Rb2TaMnSn.

The structure in POSCAR format:
```
Rb2TaMnSn
1.0
-2.805 -3.255 -4.853
-3.446 -2.197 3.465
-4.095 4.935 -0.944
Mn Ta Rb Sn
1 1 2 1
direct
0.500 0.500 0.500 Mn
0.000 0.000 0.000 Ta
0.000 0.000 0.500 Rb
0.500 0.000 0.000 Rb
0.000 0.500 0.000 Sn
```

Computed properties:
Fermi-level density of states	0.709	states/eV/atom
formation energy	1507	meV per atom
DFT total energy	-0.143	Ha/atom
volume	225.1	Å³ per cell

DFT (PBE) results for a relaxed structure of Hf5Sn2H.

The structure in POSCAR format:
```
Hf5Sn2H
1.0
6.344 -0.004 -0.001
-0.004 6.344 -0.001
-3.170 -3.170 4.121
H Sn Hf
1 2 5
direct
0.010 0.010 0.020 H
0.252 0.752 0.503 Sn
0.752 0.252 0.503 Sn
0.753 0.753 0.507 Hf
0.750 0.255 0.005 Hf
0.750 0.750 0.005 Hf
0.255 0.255 0.005 Hf
0.255 0.750 0.005 Hf
```

Computed properties:
Fermi-level density of states	0.946	states/eV/atom
DFT total energy	-0.286	Ha/atom
volume	165.8	Å³ per cell

DFT (PBE) results for a relaxed structure of Na2BS3.

The structure in POSCAR format:
```
Na2BS3
1.0
5.959 0.000 0.000
0.000 6.822 0.057
0.000 -2.798 6.222
S Na B
6 4 2
direct
0.417 0.143 0.866 S
0.917 0.134 0.857 S
0.877 0.629 0.629 S
0.417 0.866 0.143 S
0.377 0.371 0.371 S
0.917 0.857 0.134 S
0.229 0.816 0.495 Na
0.229 0.495 0.816 Na
0.729 0.505 0.184 Na
0.729 0.184 0.505 Na
0.899 0.869 0.869 B
0.399 0.131 0.131 B
```

Computed properties:
Fermi-level density of states	0.131	states/eV/atom
DFT total energy	-0.157	Ha/atom
volume	253.9	Å³ per cell

DFT (PBE) results for a relaxed structure of Pu2UZn.

The structure in POSCAR format:
```
Pu2UZn
1.0
-1.197 0.594 2.994
-3.030 0.163 -1.243
-0.917 -7.904 1.201
Pu Zn U
2 1 1
direct
0.000 0.000 0.757 Pu
0.000 0.000 0.243 Pu
0.500 0.500 0.500 Zn
0.500 0.500 0.000 U
```

Computed properties:
offset from the most stable computed form	0.0000	eV/atom
Fermi-level density of states	2.318	states/eV/atom
formation energy	151	meV per atom
DFT total energy	-0.373	Ha/atom
volume	86.5	Å³ per cell

| no. | theoretical density (Mg/m³) |
| --- | --- |
| 1 | 13.587 |
| 2 | 6.942 |
| 3 | 8.148 |
| 4 | 4.266 |
| 5 | 3.876 |
| 6 | 11.326 |
| 7 | 2.001 |
| 8 | 15.191 |